AsRu2Pb | PBE | optimized geometry

Unit cell a=3.6973 b=5.1525 c=7.4711 alpha=90.00 beta=90.00 gamma=90.00
With the nearest neighbours (Å) after each atom.
Space group Immm (No. 71)
Asymmetric unit:
As 0.0000 0.0000 0.0000 x2  4 Ru 2.40
Ru 0.0000 0.5000 0.2952 x4  2 As 2.40
Pb 0.0000 0.0000 0.5000 x2  8 Ru 2.88-3.00, 4 As 3.17

- DOS at the Fermi energy: 0.779 states/eV per atom
- Magnetization: 0.0 μB/cell
- Distance to the lowest polymorph of the same formula: 15.5 kJ per mole of atoms


CeDyTeO6 | PBE | optimized geometry

Unit cell a=5.6128 b=5.6128 c=9.7796 alpha=90.00 beta=90.00 gamma=120.00
With the nearest neighbours (Å) after each atom.
Space group P-31c (No. 163)
Asymmetric unit:
Ce 0.0000 0.0000 0.0000 x2  6 O 2.39
Dy 0.3333 0.6667 0.2500 x2  6 O 2.28
Te 0.3333 0.6667 0.7500 x2  6 O 2.00
O 0.0383 0.3704 0.6363 x12  1 Te 2.00

- DFT total energy: -130.4 eV per cell
- DOS at the Fermi energy: 0.672 states/eV per atom
- Magnetization: 2.1 μB/cell